(1)
! MgCo4Ru, optimized geometry, DFT GGA-PBEsol; values from VASP
&SYSTEM
  ibrav = 0, nat = 6, ntyp = 3
/
ATOMIC_SPECIES
Ru 101.07 Ru.upf
Mg 24.30 Mg.upf
Co 58.93 Co.upf
CELL_PARAMETERS angstrom
-3.3689 -0.4113 -3.2205
0.1406 -3.5030 -3.0982
-3.0926 -3.4993 0.2835
ATOMIC_POSITIONS angstrom
Ru 0.0000 0.0000 0.0000
Mg -4.7406 -5.5602 -4.5264
Co -2.3708 -2.7806 -2.2636
Co -3.9162 -4.5293 -2.1219
Co -4.0543 -2.9862 -3.8730
Co -2.3005 -4.5312 -3.8119
! Fermi-level density of states in states/eV/cell: 5.5
! ΔE_f in eV/atom: 0.113
! Symmetry: F-43m, No. 216



(2)
! Mg3CoS, optimized geometry, DFT GGA-PBEsol; values from VASP
&SYSTEM
  ibrav = 0, nat = 5, ntyp = 3
/
ATOMIC_SPECIES
S 32.06 S.upf
Co 58.93 Co.upf
Mg 24.30 Mg.upf
CELL_PARAMETERS angstrom
-0.0014 3.4575 -3.1930
0.6697 -3.1604 -3.4225
-4.6584 -0.4554 -0.4911
ATOMIC_POSITIONS angstrom
S 0.0000 0.0000 0.0000
Co -1.9950 -0.0791 -3.5533
Mg 0.3349 -1.5802 -1.7112
Mg -2.3292 -0.2277 -0.2455
Mg -0.0007 1.7288 -1.5965
! ΔE_f (raw) in eV/atom: 0.2865
! Fermi-level density of states in states/eV/cell: 6.1
! Symmetry: Pm-3m, No. 221



(3)
! MgCo2S4, optimized geometry, DFT GGA-PBEsol; values from VASP
&SYSTEM
  ibrav = 0, nat = 14, ntyp = 3
/
ATOMIC_SPECIES
Mg 24.30 Mg.upf
Co 58.93 Co.upf
S 32.06 S.upf
CELL_PARAMETERS angstrom
-2.0009 -1.9916 6.2246
4.4141 0.1406 5.2165
-0.7494 4.6129 4.9875
ATOMIC_POSITIONS angstrom
Mg 0.8319 1.3810 8.2143
Mg 1.2478 2.0714 12.3214
Co -0.7925 -0.6506 5.1659
Co 0.2080 0.3452 2.0536
Co -0.1668 2.6517 4.5473
Co 2.4150 0.4156 4.6618
S -0.5612 -0.1649 9.4347
S 1.4875 2.4694 14.6887
S -1.0566 2.3883 11.6821
S 1.9195 -0.1893 11.8140
S 3.1363 1.0640 8.8537
S 0.1602 3.6417 8.7217
S 2.6408 3.6173 11.1010
S 0.5921 0.9830 5.8470
! ΔE_f (raw) in eV/atom: -0.6936
! Symmetry: Fd-3m, No. 227



(4)
! MgCo3S, optimized geometry, DFT GGA-PBEsol; values from VASP
&SYSTEM
  ibrav = 0, nat = 5, ntyp = 3
/
ATOMIC_SPECIES
S 32.06 S.upf
Co 58.93 Co.upf
Mg 24.30 Mg.upf
CELL_PARAMETERS angstrom
4.0667 0.0000 0.0000
0.0000 4.0667 0.0000
0.0000 0.0000 4.0667
ATOMIC_POSITIONS angstrom
S 0.0000 0.0000 0.0000
Co 0.0000 2.0334 0.0000
Co 0.0000 0.0000 2.0334
Co 2.0334 0.0000 0.0000
Mg 2.0334 2.0334 2.0334
! ΔE_f (raw) in eV/atom: -0.0189
! Fermi-level density of states in states/eV/cell: 5.0
! Symmetry: Pm-3m, No. 221



(5)
! MgTa2CoS, optimized geometry, DFT GGA-PBEsol; values from VASP
&SYSTEM
  ibrav = 0, nat = 5, ntyp = 4
/
ATOMIC_SPECIES
S 32.06 S.upf
Co 58.93 Co.upf
Mg 24.30 Mg.upf
Ta 180.95 Ta.upf
CELL_PARAMETERS angstrom
4.0921 0.0000 0.0000
0.0000 4.5475 0.0000
0.0000 0.0000 4.5475
ATOMIC_POSITIONS angstrom
S 0.0000 0.0000 0.0000
Co 2.0461 0.0000 0.0000
Mg 2.0461 2.2737 2.2737
Ta 0.0000 0.0000 2.2737
Ta 0.0000 2.2737 0.0000
! ΔE_f (raw) in eV/atom: 0.1714
! Fermi-level density of states in states/eV/cell: 3.8
! Symmetry: P4/mmm, No. 123



(6)
! MgCoSb2, optimized geometry, DFT GGA-PBEsol; values from VASP
&SYSTEM
  ibrav = 0, nat = 4, ntyp = 3
/
ATOMIC_SPECIES
Co 58.93 Co.upf
Mg 24.30 Mg.upf
Sb 121.76 Sb.upf
CELL_PARAMETERS angstrom
3.9034 0.0000 0.0000
1.9517 4.7202 0.0186
1.9517 1.8015 4.3629
ATOMIC_POSITIONS angstrom
Co 1.9517 3.2608 2.1908
Mg 1.9517 0.0000 0.0000
Sb 3.9034 4.6504 3.1243
Sb 3.9034 1.8712 1.2572
! ΔE_f (raw) in eV/atom: 0.1416
! Fermi-level density of states in states/eV/cell: 3.1
! Symmetry: Immm, No. 71



(7)
! Mg2CoSb2, optimized geometry, DFT GGA-PBEsol; values from VASP
&SYSTEM
  ibrav = 0, nat = 10, ntyp = 3
/
ATOMIC_SPECIES
Sb 121.76 Sb.upf
Mg 24.30 Mg.upf
Co 58.93 Co.upf
CELL_PARAMETERS angstrom
4.9840 0.0000 0.0000
0.0000 6.5228 0.0000
0.0000 0.0000 6.5228
ATOMIC_POSITIONS angstrom
Sb 0.0000 2.2447 5.5060
Sb 0.0000 5.5060 4.2781
Sb 0.0000 4.2781 1.0167
Sb 0.0000 1.0167 2.2447
Mg 2.4920 1.1222 4.3836
Mg 2.4920 4.3836 5.4006
Mg 2.4920 5.4006 2.1392
Mg 2.4920 2.1392 1.1222
Co 0.0000 0.0000 0.0000
Co 0.0000 3.2614 3.2614
! ΔE_f (raw) in eV/atom: -0.0191
! Fermi-level density of states in states/eV/cell: 6.0
! Relative energy among the computed polymorphs in eV per atom: 0.0000
! Symmetry: P4/mbm, No. 127



(8)
! MgCoSb2, optimized geometry, DFT GGA-PBEsol; values from VASP
&SYSTEM
  ibrav = 0, nat = 4, ntyp = 3
/
ATOMIC_SPECIES
Co 58.93 Co.upf
Mg 24.30 Mg.upf
Sb 121.76 Sb.upf
CELL_PARAMETERS angstrom
-3.6683 0.9725 -0.4836
-0.6836 -0.4740 4.2316
1.0945 4.4651 0.6770
ATOMIC_POSITIONS angstrom
Co -2.1759 0.2492 1.8740
Mg -1.2869 2.7188 0.0967
Sb 0.0000 0.0000 0.0000
Sb 0.2055 1.9956 2.4543
! ΔE_f (raw) in eV/atom: 0.2148
! Fermi-level density of states in states/eV/cell: 3.2
! Symmetry: Pmmm, No. 47



(9)
! Mg2CoSb2, optimized geometry, DFT GGA-PBEsol; values from VASP
&SYSTEM
  ibrav = 0, nat = 5, ntyp = 3
/
ATOMIC_SPECIES
Co 58.93 Co.upf
Mg 24.30 Mg.upf
Sb 121.76 Sb.upf
CELL_PARAMETERS angstrom
-2.3347 -1.2932 3.1188
3.1253 0.6068 2.5912
-2.6839 7.2380 -1.7094
ATOMIC_POSITIONS angstrom
Co 0.0000 0.0000 0.0000
Mg -0.0296 0.9368 3.0677
Mg -1.8637 5.6149 0.9329
Sb 0.4183 3.7509 1.8684
Sb -2.3117 2.8009 2.1322
! ΔE_f (raw) in eV/atom: 0.6344
! Fermi-level density of states in states/eV/cell: 3.6
! Relative energy among the computed polymorphs in eV per atom: 0.6535
! Symmetry: I4/mmm, No. 139



(10)
! Mg2CoSb, optimized geometry, DFT GGA-PBEsol; values from VASP
&SYSTEM
  ibrav = 0, nat = 4, ntyp = 3
/
ATOMIC_SPECIES
Co 58.93 Co.upf
Mg 24.30 Mg.upf
Sb 121.76 Sb.upf
CELL_PARAMETERS angstrom
3.2565 0.0000 0.0000
0.0000 3.7210 0.0000
0.0000 0.0000 5.8670
ATOMIC_POSITIONS angstrom
Co 1.6283 1.8605 2.9335
Mg 0.0000 0.0000 4.2321
Mg 0.0000 0.0000 1.6349
Sb 1.6283 1.8605 0.0000
! ΔE_f (raw) in eV/atom: 0.0872
! Fermi-level density of states in states/eV/cell: 2.5
! Symmetry: Pmmm, No. 47



(11)
! MgCo2SbSe, optimized geometry, DFT GGA-PBEsol; values from VASP
&SYSTEM
  ibrav = 0, nat = 5, ntyp = 4
/
ATOMIC_SPECIES
Sb 121.76 Sb.upf
Mg 24.30 Mg.upf
Co 58.93 Co.upf
Se 78.96 Se.upf
CELL_PARAMETERS angstrom
4.4956 0.0000 0.0000
0.0000 4.4956 0.0000
0.0000 0.0000 5.1277
ATOMIC_POSITIONS angstrom
Sb 0.0000 0.0000 2.5638
Mg 0.0000 0.0000 0.0000
Co 0.0000 2.2478 0.0000
Co 2.2478 0.0000 0.0000
Se 2.2478 2.2478 2.5638
! ΔE_f (raw) in eV/atom: 1.3813
! Fermi-level density of states in states/eV/cell: 5.9
! Symmetry: P4/mmm, No. 123



(12)
! MgScCo, optimized geometry, DFT GGA-PBEsol; values from VASP
&SYSTEM
  ibrav = 0, nat = 3, ntyp = 3
/
ATOMIC_SPECIES
Co 58.93 Co.upf
Mg 24.30 Mg.upf
Sc 44.96 Sc.upf
CELL_PARAMETERS angstrom
-2.8112 -3.2124 0.6008
-1.5303 -2.1864 -3.3854
1.2186 -4.0822 -0.6591
ATOMIC_POSITIONS angstrom
Co -1.5614 -4.7405 -1.7218
Mg -2.3422 -7.1108 -2.5828
Sc 0.0000 0.0000 0.0000
! Fermi-level density of states in states/eV/cell: 2.3
! ΔE_f in eV/atom: 0.723
! Symmetry: F-43m, No. 216



(13)
! Mg2ScCo, optimized geometry, DFT GGA-PBEsol; values from VASP
&SYSTEM
  ibrav = 0, nat = 4, ntyp = 3
/
ATOMIC_SPECIES
Co 58.93 Co.upf
Mg 24.30 Mg.upf
Sc 44.96 Sc.upf
CELL_PARAMETERS angstrom
-0.2815 -0.2355 3.9247
1.6761 -3.5665 -0.0938
3.3445 3.7899 -1.5122
ATOMIC_POSITIONS angstrom
Co 0.0000 0.0000 0.0000
Mg 1.8801 0.8267 2.1640
Mg 2.8590 -0.8388 0.1547
Sc 0.6973 -1.9010 1.9155
! Fermi-level density of states in states/eV/cell: 1.5
! ΔE_f in eV/atom: 0.087
! Symmetry: I4/mmm, No. 139



(14)
! Mg2ScCo, optimized geometry, DFT GGA-PBEsol; values from VASP
&SYSTEM
  ibrav = 0, nat = 4, ntyp = 3
/
ATOMIC_SPECIES
Sc 44.96 Sc.upf
Mg 24.30 Mg.upf
Co 58.93 Co.upf
CELL_PARAMETERS angstrom
-1.3396 1.4558 2.3692
-1.3421 -2.6417 0.8645
6.0495 -1.6268 4.4202
ATOMIC_POSITIONS angstrom
Sc 2.0728 0.5381 4.8622
Mg 5.7310 -1.5412 4.1875
Mg 0.1400 -0.9912 2.6988
Co 3.1588 -1.8030 4.9045
! Fermi-level density of states in states/eV/cell: 2.1
! ΔE_f in eV/atom: -0.100
! Symmetry: P4mm, No. 99